No. 1
A plane-wave DFT calculation with GGA-PBE was carried out for a geometry-optimized LiNd3Ru structure.

Results
DFT formation energy ... 0.0285 eV per atom
Space group ... No. 221

Cell lengths 5.5351, 5.5351, 5.5351 Å; angles 90.00, 90.00, 90.00 degrees
Element x y z (fractional)
Li  0.0000  0.0000  0.0000
Nd  0.0000  0.5000  0.5000
Nd  0.5000  0.0000  0.5000
Nd  0.5000  0.5000  0.0000
Ru  0.5000  0.5000  0.5000



No. 2
A plane-wave DFT calculation with GGA-PBE was carried out for a geometry-optimized CsScBr2 structure.

Results
Formation energy (no corrections) ... -0.733 eV per atom
Space group ... No. 225

Cell lengths 5.6779, 5.6779, 5.6779 Å; angles 60.00, 60.00, 60.00 degrees
Element x y z (fractional)
Cs  0.0000  0.0000  0.0000
Sc  0.5000  0.5000  0.5000
Br  0.2500  0.2500  0.2500
Br  0.7500  0.7500  0.7500



No. 3
A plane-wave DFT calculation with GGA-PBE was carried out for a geometry-optimized TaTi2Tl structure.

Results
DFT formation energy ... 0.1088 eV per atom
Space group ... No. 123

Cell lengths 4.4745, 4.4745, 3.6520 Å; angles 90.00, 90.00, 90.00 degrees
Element x y z (fractional)
Ta  0.0000  0.0000  0.0000
Ti  0.0000  0.5000  0.5000
Ti  0.5000  0.0000  0.5000
Tl  0.5000  0.5000  0.0000



No. 4
A plane-wave DFT calculation with GGA-PBE was carried out for a geometry-optimized SrMn4As structure.

Results
DFT formation energy ... 0.5167 eV per atom
Space group ... No. 216

Cell lengths 5.5091, 5.5091, 5.5091 Å; angles 60.00, 60.00, 60.00 degrees
Element x y z (fractional)
Sr  0.0000  0.0000  0.0000
Mn  0.3741  0.3741  0.3741
Mn  0.3741  0.3741  0.8778
Mn  0.3741  0.8778  0.3741
Mn  0.8778  0.3741  0.3741
As  0.7500  0.7500  0.7500



No. 5
A plane-wave DFT calculation with GGA-PBE was carried out for a geometry-optimized Sm4GaSe3 structure.

Results
Formation energy (no corrections) ... -1.566 eV per atom
Space group ... No. 221

Cell lengths 5.9311, 5.9311, 5.9311 Å; angles 90.00, 90.00, 90.00 degrees
Element x y z (fractional)
Sm  0.0000  0.0000  0.0000
Sm  0.0000  0.5000  0.5000
Sm  0.5000  0.0000  0.5000
Sm  0.5000  0.5000  0.0000
Ga  0.5000  0.5000  0.5000
Se  0.0000  0.0000  0.5000
Se  0.0000  0.5000  0.0000
Se  0.5000  0.0000  0.0000



No. 6
A plane-wave DFT calculation with GGA-PBE was carried out for a geometry-optimized Ce4Co3B6 structure.

Results
DFT formation energy ... -0.3970 eV per atom
Space group ... No. 166

Cell lengths 7.7941, 7.7941, 7.7941 Å; angles 39.16, 39.16, 39.16 degrees
Element x y z (fractional)
Ce  0.0993  0.0993  0.0993
Ce  0.2350  0.2350  0.2350
Ce  0.7650  0.7650  0.7650
Ce  0.9007  0.9007  0.9007
Co  0.3874  0.3874  0.3874
Co  0.5000  0.5000  0.5000
Co  0.6126  0.6126  0.6126
B  0.0000  0.3306  0.6694
B  0.0000  0.6694  0.3306
B  0.3306  0.0000  0.6694
B  0.3306  0.6694  0.0000
B  0.6694  0.0000  0.3306
B  0.6694  0.3306  0.0000



No. 7
A plane-wave DFT calculation with GGA-PBE was carried out for a geometry-optimized ErTmAs2 structure.

Results
DFT formation energy ... -1.3596 eV per atom
Space group ... No. 160

Cell lengths 7.3064, 7.3064, 7.3064 Å; angles 32.08, 32.08, 32.08 degrees
Element x y z (fractional)
Er  0.0000  0.0000  0.0000
Tm  0.8289  0.8289  0.8289
As  0.4133  0.4133  0.4133
As  0.5818  0.5818  0.5818



No. 8
A plane-wave DFT calculation with GGA-PBE was carried out for a geometry-optimized Pm2MnZn12Cu3 structure.

Results
DFT formation energy ... 0.0258 eV per atom
Space group ... No. 166

Cell lengths 11.6984, 11.6984, 11.6984 Å; angles 28.55, 28.55, 28.55 degrees
Element x y z (fractional)
Pm  0.1415  0.1415  0.1415
Pm  0.8585  0.8585  0.8585
Mn  0.5000  0.5000  0.5000
Zn  0.0993  0.0993  0.6458
Zn  0.0993  0.6458  0.0993
Zn  0.1149  0.6057  0.6057
Zn  0.3542  0.9007  0.9007
Zn  0.3943  0.3943  0.8851
Zn  0.3943  0.8851  0.3943
Zn  0.6057  0.1149  0.6057
Zn  0.6057  0.6057  0.1149
Zn  0.6458  0.0993  0.0993
Zn  0.8851  0.3943  0.3943
Zn  0.9007  0.3542  0.9007
Zn  0.9007  0.9007  0.3542
Cu  0.0000  0.5000  0.5000
Cu  0.5000  0.0000  0.5000
Cu  0.5000  0.5000  0.0000



Calculated values (Bohr magnetons per cell) of total magnetization for the records, taken in order: 0.0 2.0 0.0 15.8 0.0 2.1 0.0 2.0.
Calculated values (eV/atom) of uncorrected energy for the records, taken in order: -5.070 -3.366 -7.393 -6.652 -5.610 -6.945 -5.943 -2.543.
Calculated values (g/cm³) of mass density for the records, taken in order: 5.30 4.33 10.93 5.37 7.23 7.84 8.26 6.78.